This record from OQMD via LeMat-Bulk describes YTlCdS3 after structural relaxation. The functional is PBE.

The structure in POSCAR format:
```
YTlCdS3
1.0
2.044 -7.107 0.000
2.044 7.107 0.000
0.000 0.000 10.777
Y Tl Cd S
2 2 2 6
Direct
0.000 0.000 0.000
0.000 0.000 0.500
0.264 0.736 0.750
0.736 0.264 0.250
0.450 0.550 0.250
0.550 0.450 0.750
0.063 0.937 0.250
0.372 0.628 0.043
0.372 0.628 0.457
0.628 0.372 0.543
0.628 0.372 0.957
0.937 0.063 0.750
```

total energy: -4.807 eV/atom

This record from OQMD via LeMat-Bulk describes ZrTlCdS3 after structural relaxation. The functional is PBE.

The structure in POSCAR format:
```
ZrTlCdS3
1.0
1.890 -7.436 0.000
1.890 7.436 0.000
0.000 0.000 10.578
Zr Tl Cd S
2 2 2 6
Direct
0.000 0.000 0.000
0.000 0.000 0.500
0.292 0.708 0.750
0.708 0.292 0.250
0.376 0.624 0.250
0.624 0.376 0.750
0.005 0.995 0.250
0.381 0.619 0.503
0.381 0.619 0.997
0.619 0.381 0.003
0.619 0.381 0.497
0.995 0.005 0.750
```

total energy: -4.867 eV/atom

This record from OQMD via LeMat-Bulk describes ZrTlCdS3 after structural relaxation. The functional is PBE.

The structure in POSCAR format:
```
ZrTlCdS3
1.0
7.812 0.000 0.000
0.000 3.805 0.000
-3.658 0.000 10.077
Zr Tl Cd S
2 2 2 6
Direct
0.041 0.250 0.376
0.959 0.750 0.624
0.495 0.750 0.791
0.505 0.250 0.209
0.068 0.750 0.121
0.932 0.250 0.879
0.166 0.750 0.907
0.191 0.250 0.625
0.268 0.750 0.358
0.732 0.250 0.642
0.809 0.750 0.375
0.834 0.250 0.093
```

total energy: -4.886 eV/atom

This record from OQMD via LeMat-Bulk describes ZrTlCdS3 after structural relaxation. The functional is PBE.

The structure in POSCAR format:
```
ZrTlCdS3
1.0
10.578 0.000 0.000
0.000 3.783 0.000
0.000 0.000 14.878
Zr Tl Cd S
4 4 4 12
Direct
0.003 0.250 0.249
0.497 0.750 0.749
0.503 0.250 0.251
0.997 0.750 0.751
0.249 0.250 0.955
0.251 0.750 0.455
0.749 0.250 0.545
0.751 0.750 0.045
0.247 0.250 0.624
0.253 0.750 0.124
0.747 0.250 0.876
0.753 0.750 0.376
0.000 0.250 0.871
0.000 0.750 0.129
0.004 0.750 0.368
0.248 0.750 0.754
0.252 0.250 0.254
0.496 0.250 0.868
0.500 0.250 0.629
0.500 0.750 0.371
0.504 0.750 0.132
0.748 0.750 0.746
0.752 0.250 0.246
0.996 0.250 0.632
```

total energy: -4.867 eV/atom

This record from OQMD via LeMat-Bulk describes ZnCdS after structural relaxation. The functional is PBE.

The structure in POSCAR format:
```
ZnCdS
1.0
7.277 0.000 0.000
-3.638 6.302 0.000
0.000 0.000 4.309
Zn Cd S
3 3 3
Direct
0.000 0.000 0.000
0.333 0.667 0.500
0.667 0.333 0.500
0.000 0.639 0.000
0.361 0.361 0.000
0.639 0.000 0.000
0.000 0.372 0.500
0.372 0.000 0.500
0.628 0.628 0.500
```

total energy: -2.162 eV/atom

This record from OQMD via LeMat-Bulk describes ZnCdS2 after structural relaxation. The functional is PBE.

The structure in POSCAR format:
```
ZnCdS2
1.0
3.990 0.000 0.000
0.000 3.990 0.000
0.000 0.000 5.709
Zn Cd S
1 1 2
Direct
0.000 0.000 0.000
0.500 0.500 0.500
0.000 0.500 0.224
0.500 0.000 0.776
```

total energy: -3.316 eV/atom

This record from OQMD via LeMat-Bulk describes ZnCdS2 after structural relaxation. The functional is PBE.

The structure in POSCAR format:
```
ZnCdS2
1.0
3.999 0.000 0.000
-1.999 3.463 0.000
0.000 0.000 6.602
Zn Cd S
1 1 2
Direct
0.000 0.000 0.000
0.333 0.667 0.506
0.000 0.000 0.355
0.333 0.667 0.893
```

total energy: -3.301 eV/atom

This record from OQMD via LeMat-Bulk describes CdSb after structural relaxation. The functional is PBE.

The structure in POSCAR format:
```
CdSb
1.0
0.000 2.989 2.989
2.989 0.000 2.989
2.989 2.989 0.000
Cd Sb
1 1
Direct
0.000 0.000 0.000
0.500 0.500 0.500
```

total energy: -2.415 eV/atom

This record from OQMD via LeMat-Bulk describes CdSb after structural relaxation. The functional is PBE.

The structure in POSCAR format:
```
CdSb
1.0
0.000 3.245 3.245
3.245 0.000 3.245
3.245 3.245 0.000
Cd Sb
1 1
Direct
0.000 0.000 0.000
0.750 0.750 0.750
```

total energy: -2.339 eV/atom

This record from OQMD via LeMat-Bulk describes CdSb after structural relaxation. The functional is PBE.

The structure in POSCAR format:
```
CdSb
1.0
5.834 0.000 0.000
0.000 4.236 0.000
0.000 0.000 8.448
Cd Sb
4 4
Direct
0.000 0.000 0.000
0.250 0.500 0.207
0.500 0.000 0.000
0.750 0.500 0.793
0.250 0.000 0.481
0.250 0.500 0.735
0.750 0.000 0.519
0.750 0.500 0.265
```

total energy: -2.441 eV/atom

This record from OQMD via LeMat-Bulk describes CdSb after structural relaxation. The functional is PBE.

The structure in POSCAR format:
```
CdSb
1.0
3.355 0.000 0.000
-1.678 2.906 0.000
0.000 0.000 5.245
Cd Sb
1 1
Direct
0.000 0.000 0.000
0.667 0.333 0.500
```

total energy: -2.339 eV/atom

This record from OQMD via LeMat-Bulk describes CdSiSb2 after structural relaxation. The functional is PBE.

The structure in POSCAR format:
```
CdSiSb2
1.0
0.000 3.630 3.630
3.630 0.000 3.630
3.630 3.630 0.000
Cd Si Sb
1 1 2
Direct
0.000 0.000 0.000
0.750 0.750 0.750
0.250 0.250 0.250
0.500 0.500 0.500
```

total energy: -3.216 eV/atom